Density functional theory data (GGA-PBE) for a relaxed TcHg2Os crystal.

Unit cell a=4.1949 b=4.1949 c=7.8758 alpha=90.00 beta=90.00 gamma=90.00
Space group I-4m2 (No. 119)
Asymmetric unit:
Tc: 0.0000 0.0000 0.0000 x2
Hg: 0.0000 0.0000 0.5000 x2
Hg: 0.0000 0.5000 0.7500 x2
Os: 0.0000 0.5000 0.2500 x2

* theoretical density: 16.52 g/cm3
* energy relative to the elements: 0.90 eV/atom
* excess energy over the best structure of this formula in the dataset: 574 meV per atom

***

Density functional theory data (GGA-PBE) for a relaxed Tm3HgPd4 crystal.

Unit cell a=9.6196 b=6.9029 c=4.8096 alpha=90.00 beta=90.00 gamma=90.00
Space group Pmma (No. 51)
Asymmetric unit:
Tm: 0.0000 0.0000 0.0000 x2
Tm: 0.2500 0.0000 0.4995 x2
Tm: 0.2500 0.5000 0.4989 x2
Hg: 0.0000 0.5000 0.0000 x2
Pd: 0.0000 0.2412 0.5000 x4
Pd: 0.2500 0.2413 0.9988 x4

* theoretical density: 11.78 g/cm3
* energy relative to the elements: -0.82 eV/atom

***

Density functional theory data (GGA-PBE) for a relaxed PrY12Er2 crystal.

Unit cell a=6.4402 b=6.4402 c=25.1069 alpha=90.00 beta=90.00 gamma=90.00
Space group P4/nbm (No. 125, origin choice 2)
Asymmetric unit:
Pr: 0.2500 0.7500 0.0000 x2
Y: 0.0003 0.9997 0.1149 x8
Y: 0.0812 0.5812 0.4386 x8
Y: 0.2500 0.2500 0.2166 x4
Y: 0.2500 0.2500 0.3389 x4
Er: 0.2500 0.7500 0.2733 x4

* theoretical density: 4.92 g/cm3
* energy relative to the elements: 0.39 eV/atom

***

Density functional theory data (GGA-PBE) for a relaxed Tl2SiPb crystal.

Unit cell a=4.6799 b=4.7172 c=4.9518 alpha=90.00 beta=90.00 gamma=90.00
Space group Pmmm (No. 47)
Asymmetric unit:
Tl: 0.0000 0.0000 0.0000 x1
Tl: 0.5000 0.5000 0.0000 x1
Si: 0.0000 0.5000 0.5000 x1
Pb: 0.5000 0.0000 0.5000 x1

* raw formation energy: 0.34 eV/atom
* theoretical density: 9.78 g/cm3
* excess energy over the best structure of this formula in the dataset: 70 meV per atom

***

Density functional theory data (GGA-PBE) for a relaxed ReOs crystal.

Unit cell a=4.3822 b=2.7691 c=4.8096 alpha=90.00 beta=90.00 gamma=90.00
Space group Pmma (No. 51)
Asymmetric unit:
Re: 0.2500 0.0000 0.1663 x2
Os: 0.2500 0.5000 0.6689 x2

* theoretical density: 21.42 g/cm3
* energy relative to the elements: -0.09 eV/atom
* excess energy over the best structure of this formula in the dataset: 0 meV per atom

***

Density functional theory data (GGA-PBE) for a relaxed Al3Cu2Rh crystal.

Unit cell a=3.0681 b=3.0681 c=8.5971 alpha=90.00 beta=90.00 gamma=90.00
Space group P4/mmm (No. 123)
Asymmetric unit:
Al: 0.0000 0.0000 0.0000 x1
Al: 0.0000 0.0000 0.3332 x2
Cu: 0.5000 0.5000 0.1655 x2
Rh: 0.5000 0.5000 0.5000 x1

* theoretical density: 6.38 g/cm3
* energy relative to the elements: -0.49 eV/atom
* excess energy over the best structure of this formula in the dataset: 24 meV per atom